No. 1
This record from the Alexandria database describes an optimized crystal structure of Al3OsPd. The functional is GGA-PBE.

a b c (Å): 4.676 4.676 4.676
angles (deg): 90.00 90.00 90.00
Positions (direct):
Os 0.000 0.000 0.000
Al 0.000 0.500 0.000
Al 0.000 0.000 0.500
Al 0.500 0.000 0.000
Pd 0.500 0.500 0.500

Properties
Formation energy from the elements (eV/atom): 0.137
SG: Pm-3m

No. 2
This record from the Alexandria database describes an optimized crystal structure of PuAsHRu. The functional is GGA-PBE.

a b c (Å): 4.108 4.108 7.209
angles (deg): 90.00 90.00 90.00
Last column: magnetic moment on the atom in μB.
Positions (direct):
Pu 0.500 0.000 0.650  5.21
Pu 0.000 0.500 0.350  5.21
As 0.000 0.500 0.810  -0.02
As 0.500 0.000 0.190  -0.02
H 0.000 0.000 0.500  -0.03
H 0.500 0.500 0.500  -0.03
Ru 0.500 0.500 0.000  -0.03
Ru 0.000 0.000 0.000  -0.03

Properties
SG: P4/nmm

Number 1: calculated total energy -26.96 eV/cell. Number 2: calculated total energy -68.07 eV/cell.